[1]
The following is a PBE-GGA calculation of crystalline K2ZnBr at its relaxed geometry, from Alexandria via LeMat-Bulk.

a = 4.5930 Å, b = 4.5930 Å, c = 9.3034 Å
α = 103.99°, β = 103.99°, γ = 59.53°
With the nearest neighbours (Å) after each atom.
Atoms (fractional coordinates):
K: 0.2410 0.2410 0.2254  3 Br 3.32-3.33, 3 Zn 3.60-3.61
K: 0.7590 0.7590 0.7746  3 Br 3.32-3.33, 3 Zn 3.60-3.61
Zn: 0.0000 0.0000 0.5000  6 K 3.60-3.61
Br: 0.5000 0.5000 0.0000  6 K 3.32-3.33

Values from the calculation:
total magnetic moment	0.08	μB per atom
formation energy from raw total energies	-0.67	eV per atom
space-group type	No. 12


[2]
The following is a PBE-GGA calculation of crystalline KZnBr2 at its relaxed geometry, from Alexandria via LeMat-Bulk.

a = 5.7968 Å, b = 5.7968 Å, c = 5.7968 Å
α = 132.75°, β = 108.63°, γ = 90.10°
With the nearest neighbours (Å) after each atom.
Atoms (fractional coordinates):
K: 0.0000 0.0000 0.0000  4 Br 3.35
Zn: 0.5000 0.5000 0.0000  4 Br 2.87
Br: 0.2942 0.7942 0.5000  2 Zn 2.87
Br: 0.7058 0.2058 0.5000  2 Zn 2.87

Values from the calculation:
total magnetic moment	0.00	μB per atom
formation energy from raw total energies	-0.81	eV per atom
space-group type	No. 71


[3]
The following is a PBE-GGA calculation of crystalline K2ZnBr at its relaxed geometry, from Alexandria via LeMat-Bulk.

a = 7.7767 Å, b = 7.7767 Å, c = 7.7767 Å
α = 109.16°, β = 109.16°, γ = 110.09°
With the nearest neighbours (Å) after each atom.
Atoms (fractional coordinates):
K: 0.0931 0.6250 0.9681  2 Br 3.19
K: 0.3750 0.3431 0.4681  2 Br 3.19
K: 0.6569 0.1250 0.0319  2 Br 3.19
K: 0.8750 0.9069 0.5319  2 Br 3.19
Zn: 0.2500 0.7500 0.5000  4 K 3.57
Zn: 0.5000 0.5000 0.0000  4 K 3.57
Br: 0.0000 0.0000 0.0000  4 K 3.19
Br: 0.7500 0.2500 0.5000  4 K 3.19

Values from the calculation:
total magnetic moment	0.24	μB per atom
formation energy from raw total energies	-0.58	eV per atom
space-group type	No. 122


[4]
The following is a PBE-GGA calculation of crystalline KZnBr at its relaxed geometry, from Alexandria via LeMat-Bulk.

a = 5.5531 Å, b = 5.5531 Å, c = 5.5531 Å
α = 60.00°, β = 60.00°, γ = 60.00°
With the nearest neighbours (Å) after each atom.
Atoms (fractional coordinates):
K: 0.0000 0.0000 0.0000  4 Br 3.40, 4 Zn 3.40
Zn: 0.2500 0.2500 0.2500  4 K 3.40
Br: 0.7500 0.7500 0.7500  4 K 3.40

Values from the calculation:
total magnetic moment	0.00	μB per atom
formation energy from raw total energies	-0.69	eV per atom
space-group type	No. 216


[5]
The following is a PBE-GGA calculation of crystalline K2ZnBr4 at its relaxed geometry, from Alexandria via LeMat-Bulk.

a = 8.9293 Å, b = 8.9293 Å, c = 8.9293 Å
α = 145.07°, β = 145.07°, γ = 50.24°
With the nearest neighbours (Å) after each atom.
Atoms (fractional coordinates):
K: 0.1363 0.1363 0.0000  5 Br 3.30-3.47
K: 0.8637 0.8637 0.0000  5 Br 3.30-3.47
Zn: 0.5000 0.5000 0.0000  6 Br 2.58-2.68
Br: 0.0000 0.5000 0.5000  2 Zn 2.68
Br: 0.3407 0.3407 0.0000  1 Zn 2.58
Br: 0.5000 0.0000 0.5000  2 Zn 2.68
Br: 0.6593 0.6593 0.0000  1 Zn 2.58

Values from the calculation:
total magnetic moment	0.00	μB per atom
formation energy from raw total energies	-1.31	eV per atom
space-group type	No. 139


[6]
The following is a PBE-GGA calculation of crystalline K2ZnBr at its relaxed geometry, from Alexandria via LeMat-Bulk.

a = 4.8354 Å, b = 4.8354 Å, c = 7.0526 Å
α = 90.00°, β = 90.00°, γ = 90.00°
With the nearest neighbours (Å) after each atom.
Atoms (fractional coordinates):
K: 0.0000 0.0000 0.0000  4 Br 3.42, 2 Zn 3.52-3.54
K: 0.5000 0.5000 0.4967  4 Zn 3.42, 2 Br 3.51-3.54
Zn: 0.0000 0.0000 0.5015  6 K 3.42-3.54
Br: 0.5000 0.5000 0.9985  6 K 3.42-3.54

Values from the calculation:
total magnetic moment	0.00	μB per atom
formation energy from raw total energies	-0.62	eV per atom
space-group type	No. 99


[7]
The following is a PBE-GGA calculation of crystalline KZnBr at its relaxed geometry, from Alexandria via LeMat-Bulk.

a = 7.8890 Å, b = 7.8890 Å, c = 7.8890 Å
α = 146.43°, β = 146.43°, γ = 48.20°
With the nearest neighbours (Å) after each atom.
Atoms (fractional coordinates):
K: 0.0000 0.0000 0.0000  4 Br 3.26, 1 Zn 3.60
Zn: 0.7501 0.7501 0.0000  1 Br 3.12
Br: 0.5338 0.5338 0.0000  1 Zn 3.12, 4 K 3.26

Values from the calculation:
total magnetic moment	0.00	μB per atom
formation energy from raw total energies	-0.74	eV per atom
space-group type	No. 107


[8]
The following is a PBE-GGA calculation of crystalline KZnBr3 at its relaxed geometry, from Alexandria via LeMat-Bulk.

a = 8.2230 Å, b = 8.2230 Å, c = 5.2983 Å
α = 91.75°, β = 91.75°, γ = 74.69°
With the nearest neighbours (Å) after each atom.
Atoms (fractional coordinates):
K: 0.0000 0.0000 0.0000  8 Br 3.46-3.81
K: 0.5829 0.5829 0.4806  8 Br 3.45-3.82
Zn: 0.1189 0.4638 0.2413  4 Br 2.38-2.52
Zn: 0.4638 0.1189 0.2413  4 Br 2.38-2.52
Br: 0.1222 0.7139 0.4789  1 Zn 2.38
Br: 0.1909 0.1909 0.4741  2 Zn 2.52
Br: 0.3917 0.3917 0.0077  2 Zn 2.52
Br: 0.4608 0.8689 0.0023  1 Zn 2.39
Br: 0.7139 0.1222 0.4789  1 Zn 2.38
Br: 0.8689 0.4608 0.0023  1 Zn 2.39

Values from the calculation:
total magnetic moment	0.00	μB per atom
formation energy from raw total energies	-1.23	eV per atom
space-group type	No. 8